1.
The following is a DFT calculation (PBE) of crystalline Tb2ThOs2 at its relaxed geometry.

Geometry as CIF:
```
data_Tb2ThOs2
_cell_length_a 5.659
_cell_length_b 4.401
_cell_length_c 10.389
_cell_angle_alpha 90.00
_cell_angle_beta 92.78
_cell_angle_gamma 90.00
_space_group_name_H-M_alt 'P 1 21/m 1'
_space_group_IT_number 11
_space_group_name_Hall '-P 2yb'
loop_
_atom_site_label
_atom_site_type_symbol
_atom_site_fract_x
_atom_site_fract_y
_atom_site_fract_z
_atom_site_occupancy
Tb1 Tb 0.109 0.250 0.377 1
Tb2 Tb 0.245 0.250 0.031 1
Th1 Th 0.385 0.250 0.701 1
Os1 Os 0.258 0.750 0.849 1
Os2 Os 0.346 0.750 0.521 1
```

Properties
energy above the lowest structure with this stoichiometry	0.47	eV per formula unit
energy relative to the elements	-0.164	eV/atom
calculated volume	258.5	Å³ per cell
uncorrected energy	-40.0	eV per formula unit
mass density	12.0	g cm⁻³
D(E_F)	6.73	states/eV per cell

2.
The following is a DFT calculation (PBE) of crystalline TbThOs2 at its relaxed geometry.

Geometry as CIF:
```
data_TbThOs2
_cell_length_a 7.000
_cell_length_b 7.000
_cell_length_c 7.000
_cell_angle_alpha 90.00
_cell_angle_beta 90.00
_cell_angle_gamma 90.00
_space_group_name_H-M_alt 'F m -3 m'
_space_group_IT_number 225
_space_group_name_Hall '-F 4 2 3'
loop_
_atom_site_label
_atom_site_type_symbol
_atom_site_fract_x
_atom_site_fract_y
_atom_site_fract_z
_atom_site_occupancy
Tb1 Tb 0.000 0.000 0.000 1
Th1 Th 0.000 0.000 0.500 1
Os1 Os 0.250 0.250 0.250 1
```

Properties
energy above the lowest structure with this stoichiometry	0.02	eV per formula unit
energy relative to the elements	-0.139	eV/atom
calculated volume	343.1	Å³ per cell
uncorrected energy	-35.1	eV per formula unit
mass density	14.9	g cm⁻³
D(E_F)	13.63	states/eV per cell

3.
The following is a DFT calculation (PBE) of crystalline Tb2ThOs at its relaxed geometry.

Geometry as CIF:
```
data_Tb2ThOs
_cell_length_a 7.325
_cell_length_b 9.531
_cell_length_c 6.423
_cell_angle_alpha 90.00
_cell_angle_beta 90.00
_cell_angle_gamma 90.00
_space_group_name_H-M_alt 'P n m a'
_space_group_IT_number 62
_space_group_name_Hall '-P 2ac 2n'
loop_
_atom_site_label
_atom_site_type_symbol
_atom_site_fract_x
_atom_site_fract_y
_atom_site_fract_z
_atom_site_occupancy
Tb1 Tb 0.173 0.067 0.168 1
Th1 Th 0.046 0.250 0.652 1
Os1 Os 0.129 0.750 0.963 1
```

Properties
energy above the lowest structure with this stoichiometry	0.00	eV per formula unit
energy relative to the elements	-0.257	eV/atom
calculated volume	448.5	Å³ per cell
uncorrected energy	-28.9	eV per formula unit
mass density	11.0	g cm⁻³
D(E_F)	15.82	states/eV per cell

4.
The following is a DFT calculation (PBE) of crystalline TbThOs at its relaxed geometry.

Geometry as CIF:
```
data_TbThOs
_cell_length_a 4.761
_cell_length_b 12.794
_cell_length_c 7.529
_cell_angle_alpha 90.00
_cell_angle_beta 90.00
_cell_angle_gamma 90.00
_space_group_name_H-M_alt 'A m m 2'
_space_group_IT_number 38
_space_group_name_Hall 'A 2 -2'
loop_
_atom_site_label
_atom_site_type_symbol
_atom_site_fract_x
_atom_site_fract_y
_atom_site_fract_z
_atom_site_occupancy
Tb1 Tb 0.000 0.000 0.000 1
Tb2 Tb 0.000 0.206 0.612 1
Th1 Th 0.500 0.000 0.672 1
Th2 Th 0.500 0.135 0.280 1
Os1 Os 0.000 0.000 0.407 1
Os2 Os 0.500 0.163 0.914 1
```

Properties
energy above the lowest structure with this stoichiometry	0.07	eV per formula unit
energy relative to the elements	-0.216	eV/atom
calculated volume	458.6	Å³ per cell
uncorrected energy	-23.9	eV per formula unit
mass density	12.6	g cm⁻³
D(E_F)	16.47	states/eV per cell

5.
The following is a DFT calculation (PBE) of crystalline TbThOs at its relaxed geometry.

Geometry as CIF:
```
data_TbThOs
_cell_length_a 6.900
_cell_length_b 6.900
_cell_length_c 6.900
_cell_angle_alpha 90.00
_cell_angle_beta 90.00
_cell_angle_gamma 90.00
_space_group_name_H-M_alt 'F -4 3 m'
_space_group_IT_number 216
_space_group_name_Hall 'F -4 2 3'
loop_
_atom_site_label
_atom_site_type_symbol
_atom_site_fract_x
_atom_site_fract_y
_atom_site_fract_z
_atom_site_occupancy
Tb1 Tb 0.000 0.000 0.000 1
Th1 Th 0.000 0.000 0.500 1
Os1 Os 0.250 0.250 0.750 1
```

Properties
energy above the lowest structure with this stoichiometry	0.09	eV per formula unit
energy relative to the elements	-0.208	eV/atom
calculated volume	328.5	Å³ per cell
uncorrected energy	-23.9	eV per formula unit
mass density	11.8	g cm⁻³
D(E_F)	11.71	states/eV per cell

6.
The following is a DFT calculation (PBE) of crystalline TbTh2Os at its relaxed geometry.

Geometry as CIF:
```
data_TbTh2Os
_cell_length_a 7.283
_cell_length_b 9.830
_cell_length_c 6.326
_cell_angle_alpha 90.00
_cell_angle_beta 90.00
_cell_angle_gamma 90.00
_space_group_name_H-M_alt 'P n m a'
_space_group_IT_number 62
_space_group_name_Hall '-P 2ac 2n'
loop_
_atom_site_label
_atom_site_type_symbol
_atom_site_fract_x
_atom_site_fract_y
_atom_site_fract_z
_atom_site_occupancy
Tb1 Tb 0.038 0.250 0.145 1
Th1 Th 0.171 0.062 0.667 1
Os1 Os 0.118 0.750 0.407 1
```

Properties
energy above the lowest structure with this stoichiometry	0.00	eV per formula unit
energy relative to the elements	-0.224	eV/atom
calculated volume	452.9	Å³ per cell
uncorrected energy	-31.6	eV per formula unit
mass density	11.9	g cm⁻³
D(E_F)	18.76	states/eV per cell